No. 1
# Rb3Na2Sn4, relaxed, DFT GGA-PBE
# calculated formation energy = -1.0 eV per formula unit
# total magnetic moment = 0.000 μB per atom
data_Rb3Na2Sn4
_chemical_formula_sum 'Rb3 Na2 Sn4'
_cell_length_a 5.733
_cell_length_b 7.263
_cell_length_c 10.484
_cell_angle_alpha 105.46
_cell_angle_beta 94.07
_cell_angle_gamma 112.69
_symmetry_space_group_name_H-M 'P -1'
_symmetry_Int_Tables_number 2
loop_
_symmetry_equiv_pos_as_xyz
'x,y,z'
'-x,-y,-z'
loop_
_atom_site_label
_atom_site_type_symbol
_atom_site_fract_x
_atom_site_fract_y
_atom_site_fract_z
Rb1 Rb 0.000 0.000 0.000
Rb2 Rb 0.386 0.746 0.612
Na1 Na 0.279 0.657 0.218
Sn1 Sn 0.103 0.160 0.634
Sn2 Sn 0.319 0.516 0.902

=====

No. 2
# LiDy2Sc, relaxed, DFT GGA-PBE
# calculated formation energy = 0.5 eV per formula unit
# total magnetic moment = 0.000 μB per atom
# distance to the lowest polymorph of the same formula = 0.033 eV per atom
data_LiDy2Sc
_chemical_formula_sum 'Li1 Dy2 Sc1'
_cell_length_a 5.402
_cell_length_b 5.402
_cell_length_c 3.663
_cell_angle_alpha 90.00
_cell_angle_beta 90.00
_cell_angle_gamma 90.00
_symmetry_space_group_name_H-M 'P 4/m m m'
_symmetry_Int_Tables_number 123
_symmetry_space_group_name_Hall '-P 4 2'
loop_
_atom_site_label
_atom_site_type_symbol
_atom_site_fract_x
_atom_site_fract_y
_atom_site_fract_z
Li1 Li 0.000 0.000 0.000
Dy1 Dy 0.000 0.500 0.500
Sc1 Sc 0.500 0.500 0.000

=====

No. 3
# SmTm5Zn4, relaxed, DFT GGA-PBE
# calculated formation energy = -2.8 eV per formula unit
# total magnetic moment = 0.000 μB per atom
data_SmTm5Zn4
_chemical_formula_sum 'Sm1 Tm5 Zn4'
_cell_length_a 3.525
_cell_length_b 3.525
_cell_length_c 19.250
_cell_angle_alpha 90.00
_cell_angle_beta 90.00
_cell_angle_gamma 90.00
_symmetry_space_group_name_H-M 'P 4/m m m'
_symmetry_Int_Tables_number 123
_symmetry_space_group_name_Hall '-P 4 2'
loop_
_atom_site_label
_atom_site_type_symbol
_atom_site_fract_x
_atom_site_fract_y
_atom_site_fract_z
Sm1 Sm 0.000 0.000 0.000
Tm1 Tm 0.500 0.500 0.135
Tm2 Tm 0.500 0.500 0.318
Tm3 Tm 0.500 0.500 0.500
Zn1 Zn 0.000 0.000 0.226
Zn2 Zn 0.000 0.000 0.407

=====

No. 4
# CaTa4N6, relaxed, DFT GGA-PBE
# total magnetic moment = 0.000 μB per atom
# uncorrected formation energy = -1.129 eV per atom
data_CaTa4N6
_chemical_formula_sum 'Ca4 Ta16 N24'
_cell_length_a 3.088
_cell_length_b 10.322
_cell_length_c 16.034
_cell_angle_alpha 90.00
_cell_angle_beta 90.00
_cell_angle_gamma 90.00
_symmetry_space_group_name_H-M 'C m c m'
_symmetry_Int_Tables_number 63
_symmetry_space_group_name_Hall '-C 2c 2'
loop_
_atom_site_label
_atom_site_type_symbol
_atom_site_fract_x
_atom_site_fract_y
_atom_site_fract_z
Ca1 Ca 0.000 0.152 0.250
Ta1 Ta 0.000 0.104 0.635
Ta2 Ta 0.000 0.358 0.543
N1 N 0.000 0.000 0.000
N2 N 0.000 0.166 0.750
N3 N 0.000 0.269 0.090
N4 N 0.000 0.465 0.653

=====

No. 5
# LiZrScSe4, relaxed, DFT GGA-PBE
# total magnetic moment = 0.000 μB per atom
# uncorrected formation energy = -1.469 eV per atom
data_LiZrScSe4
_chemical_formula_sum 'Li4 Zr4 Sc4 Se16'
_cell_length_a 7.871
_cell_length_b 7.917
_cell_length_c 11.160
_cell_angle_alpha 90.00
_cell_angle_beta 90.00
_cell_angle_gamma 90.00
_symmetry_space_group_name_H-M 'I m m a'
_symmetry_Int_Tables_number 74
_symmetry_space_group_name_Hall '-I 2b 2'
loop_
_atom_site_label
_atom_site_type_symbol
_atom_site_fract_x
_atom_site_fract_y
_atom_site_fract_z
Li1 Li 0.000 0.250 0.120
Zr1 Zr 0.250 0.250 0.750
Sc1 Sc 0.000 0.000 0.500
Se1 Se 0.000 0.012 0.746
Se2 Se 0.236 0.250 0.508

=====

No. 6
# Ti2SnRh, relaxed, DFT GGA-PBE
# calculated formation energy = -1.0 eV per formula unit
# total magnetic moment = 0.002 μB per atom
data_Ti2SnRh
_chemical_formula_sum 'Ti6 Sn3 Rh3'
_cell_length_a 3.1199
_cell_length_b 3.1199
_cell_length_c 25.5300
_cell_angle_alpha 90.00
_cell_angle_beta 90.00
_cell_angle_gamma 120.00
_symmetry_space_group_name_H-M 'R -3 m'
_symmetry_Int_Tables_number 166
_symmetry_space_group_name_Hall '-R 3 2"'
loop_
_atom_site_label
_atom_site_type_symbol
_atom_site_fract_x
_atom_site_fract_y
_atom_site_fract_z
Ti1 Ti 0.0000 0.0000 0.2406
Sn1 Sn 0.0000 0.0000 0.0000
Rh1 Rh 0.0000 0.0000 0.5000

=====

No. 7
# CrReW2, relaxed, DFT GGA-PBE
# calculated formation energy = 4.1 eV per formula unit
# total magnetic moment = 0.274 μB per atom
# distance to the lowest polymorph of the same formula = 1.002 eV per atom
data_CrReW2
_chemical_formula_sum 'Cr4 Re4 W8'
_cell_length_a 3.644
_cell_length_b 3.644
_cell_length_c 19.673
_cell_angle_alpha 90.00
_cell_angle_beta 90.00
_cell_angle_gamma 90.00
_symmetry_space_group_name_H-M 'I -4 2 d'
_symmetry_Int_Tables_number 122
_symmetry_space_group_name_Hall 'I -4 2bw'
loop_
_atom_site_label
_atom_site_type_symbol
_atom_site_fract_x
_atom_site_fract_y
_atom_site_fract_z
Cr1 Cr 0.000 0.000 0.000
Re1 Re 0.000 0.000 0.500
W1 W 0.247 0.250 0.125

=====

No. 8
# Dy6Tm8In, relaxed, DFT GGA-PBE
# calculated formation energy = 3.0 eV per formula unit
# total magnetic moment = 0.000 μB per atom
# distance to the lowest polymorph of the same formula = 0.179 eV per atom
data_Dy6Tm8In
_chemical_formula_sum 'Dy6 Tm8 In1'
_cell_length_a 9.1134
_cell_length_b 9.1134
_cell_length_c 6.6279
_cell_angle_alpha 90.00
_cell_angle_beta 90.00
_cell_angle_gamma 120.00
_symmetry_space_group_name_H-M 'P -3'
_symmetry_Int_Tables_number 147
loop_
_symmetry_equiv_pos_as_xyz
'x,y,z'
'-x,-y,-z'
'-y,x-y,z'
'y,-x+y,-z'
'-x+y,-x,z'
'x-y,x,-z'
loop_
_atom_site_label
_atom_site_type_symbol
_atom_site_fract_x
_atom_site_fract_y
_atom_site_fract_z
Dy1 Dy 0.0821 0.3986 0.1002
Tm1 Tm 0.0182 0.6855 0.3934
Tm2 Tm 0.3333 0.6667 0.6837
In1 In 0.0000 0.0000 0.0000

=====

No. 9
# Si2PtCBr, relaxed, DFT GGA-PBE
# total magnetic moment = 0.000 μB per atom
# uncorrected formation energy = 2.054 eV per atom
data_Si2PtCBr
_chemical_formula_sum 'Si2 Pt1 C1 Br1'
_cell_length_a 4.871
_cell_length_b 4.871
_cell_length_c 3.747
_cell_angle_alpha 90.00
_cell_angle_beta 90.00
_cell_angle_gamma 90.00
_symmetry_space_group_name_H-M 'P 4/m m m'
_symmetry_Int_Tables_number 123
_symmetry_space_group_name_Hall '-P 4 2'
loop_
_atom_site_label
_atom_site_type_symbol
_atom_site_fract_x
_atom_site_fract_y
_atom_site_fract_z
Si1 Si 0.000 0.500 0.000
Pt1 Pt 0.000 0.000 0.500
C1 C 0.500 0.500 0.500
Br1 Br 0.500 0.500 0.000

=====

No. 10
# KPmSnBr6, relaxed, DFT GGA-PBE
# total magnetic moment = 0.000 μB per atom
# uncorrected formation energy = -1.469 eV per atom
data_KPmSnBr6
_chemical_formula_sum 'K2 Pm2 Sn2 Br12'
_cell_length_a 7.210
_cell_length_b 7.210
_cell_length_c 13.673
_cell_angle_alpha 90.00
_cell_angle_beta 90.00
_cell_angle_gamma 90.00
_symmetry_space_group_name_H-M 'P 42 n m'
_symmetry_Int_Tables_number 102
loop_
_symmetry_equiv_pos_as_xyz
'x,y,z'
'-y+1/2,x+1/2,z+1/2'
'-x,-y,z'
'y+1/2,-x+1/2,z+1/2'
'-x+1/2,y+1/2,z+1/2'
'y,x,z'
'x+1/2,-y+1/2,z+1/2'
'-y,-x,z'
loop_
_atom_site_label
_atom_site_type_symbol
_atom_site_fract_x
_atom_site_fract_y
_atom_site_fract_z
K1 K 0.000 0.000 0.000
Pm1 Pm 0.000 0.000 0.334
Sn1 Sn 0.000 0.000 0.668
Br1 Br 0.181 0.181 0.498
Br2 Br 0.204 0.204 0.187
Br3 Br 0.217 0.217 0.823

=====

No. 11
# AcPrGdPu, relaxed, DFT GGA-PBE
# calculated formation energy = 0.9 eV per formula unit
# total magnetic moment = 3.716 μB per atom
data_AcPrGdPu
_chemical_formula_sum 'Ac4 Pr4 Gd4 Pu4'
_cell_length_a 8.263
_cell_length_b 8.263
_cell_length_c 8.263
_cell_angle_alpha 90.00
_cell_angle_beta 90.00
_cell_angle_gamma 90.00
_symmetry_space_group_name_H-M 'F -4 3 m'
_symmetry_Int_Tables_number 216
_symmetry_space_group_name_Hall 'F -4 2 3'
loop_
_atom_site_label
_atom_site_type_symbol
_atom_site_fract_x
_atom_site_fract_y
_atom_site_fract_z
Ac1 Ac 0.000 0.000 0.000
Pr1 Pr 0.000 0.000 0.500
Gd1 Gd 0.250 0.250 0.250
Pu1 Pu 0.250 0.250 0.750

=====

No. 12
# La2Tl8Ag, relaxed, DFT GGA-PBE
# calculated formation energy = -2.4 eV per formula unit
# total magnetic moment = 0.000 μB per atom
data_La2Tl8Ag
_chemical_formula_sum 'La2 Tl8 Ag1'
_cell_length_a 4.965
_cell_length_b 4.965
_cell_length_c 12.790
_cell_angle_alpha 90.00
_cell_angle_beta 90.00
_cell_angle_gamma 90.00
_symmetry_space_group_name_H-M 'P 4/m m m'
_symmetry_Int_Tables_number 123
_symmetry_space_group_name_Hall '-P 4 2'
loop_
_atom_site_label
_atom_site_type_symbol
_atom_site_fract_x
_atom_site_fract_y
_atom_site_fract_z
La1 La 0.000 0.000 0.191
Tl1 Tl 0.000 0.500 0.000
Tl2 Tl 0.000 0.500 0.371
Tl3 Tl 0.500 0.500 0.187
Ag1 Ag 0.000 0.000 0.500

=====

No. 13
# Y2SiB2Rh5, relaxed, DFT GGA-PBE
# total magnetic moment = 0.000 μB per atom
# uncorrected formation energy = -0.813 eV per atom
data_Y2SiB2Rh5
_chemical_formula_sum 'Y4 Si2 B4 Rh10'
_cell_length_a 9.384
_cell_length_b 9.384
_cell_length_c 3.221
_cell_angle_alpha 90.00
_cell_angle_beta 90.00
_cell_angle_gamma 90.00
_symmetry_space_group_name_H-M 'P 4/m b m'
_symmetry_Int_Tables_number 127
_symmetry_space_group_name_Hall '-P 4 2ab'
loop_
_atom_site_label
_atom_site_type_symbol
_atom_site_fract_x
_atom_site_fract_y
_atom_site_fract_z
Y1 Y 0.176 0.324 0.000
Si1 Si 0.000 0.000 0.000
B1 B 0.122 0.622 0.000
Rh1 Rh 0.000 0.500 0.500
Rh2 Rh 0.069 0.785 0.500

=====

No. 14
# Sr3GaAg, relaxed, DFT GGA-PBE
# calculated formation energy = 0.2 eV per formula unit
# total magnetic moment = 0.000 μB per atom
# distance to the lowest polymorph of the same formula = 0.292 eV per atom
data_Sr3GaAg
_chemical_formula_sum 'Sr3 Ga1 Ag1'
_cell_length_a 6.096
_cell_length_b 6.096
_cell_length_c 6.096
_cell_angle_alpha 90.00
_cell_angle_beta 90.00
_cell_angle_gamma 90.00
_symmetry_space_group_name_H-M 'P m -3 m'
_symmetry_Int_Tables_number 221
_symmetry_space_group_name_Hall '-P 4 2 3'
loop_
_atom_site_label
_atom_site_type_symbol
_atom_site_fract_x
_atom_site_fract_y
_atom_site_fract_z
Sr1 Sr 0.000 0.000 0.500
Ga1 Ga 0.000 0.000 0.000
Ag1 Ag 0.500 0.500 0.500

=====

No. 15
# KScC, relaxed, DFT GGA-PBE
# calculated formation energy = 0.5 eV per formula unit
# total magnetic moment = 0.000 μB per atom
# distance to the lowest polymorph of the same formula = 0.214 eV per atom
data_KScC
_chemical_formula_sum 'K2 Sc2 C2'
_cell_length_a 4.068
_cell_length_b 5.387
_cell_length_c 8.709
_cell_angle_alpha 90.00
_cell_angle_beta 90.06
_cell_angle_gamma 90.00
_symmetry_space_group_name_H-M 'P 1 m 1'
_symmetry_Int_Tables_number 6
loop_
_symmetry_equiv_pos_as_xyz
'x,y,z'
'x,-y,z'
loop_
_atom_site_label
_atom_site_type_symbol
_atom_site_fract_x
_atom_site_fract_y
_atom_site_fract_z
K1 K 0.000 0.000 0.000
K2 K 0.499 0.500 0.328
Sc1 Sc 0.499 0.500 0.731
Sc2 Sc 0.999 0.000 0.582
C1 C 0.999 0.373 0.660

=====

No. 16
# LaPr3Pd, relaxed, DFT GGA-PBE
# calculated formation energy = -0.8 eV per formula unit
# total magnetic moment = 0.000 μB per atom
# distance to the lowest polymorph of the same formula = 0.140 eV per atom
data_LaPr3Pd
_chemical_formula_sum 'La2 Pr6 Pd2'
_cell_length_a 7.9793
_cell_length_b 7.9793
_cell_length_c 6.1929
_cell_angle_alpha 90.00
_cell_angle_beta 90.00
_cell_angle_gamma 120.00
_symmetry_space_group_name_H-M 'P 63/m m c'
_symmetry_Int_Tables_number 194
_symmetry_space_group_name_Hall '-P 6c 2c'
loop_
_atom_site_label
_atom_site_type_symbol
_atom_site_fract_x
_atom_site_fract_y
_atom_site_fract_z
La1 La 0.3333 0.6667 0.2500
Pr1 Pr 0.1815 0.3631 0.7500
Pd1 Pd 0.0000 0.0000 0.0000